Entry 1:
Entry from Alexandria via LeMat-Bulk: a geometry-optimized MnAl2FeH structure (GGA-PBE).

Lattice parameters (Å, degrees): 4.0310 4.0310 3.1993 90.00 90.00 90.00
With the nearest neighbours (Å) after each atom.
Fractional positions:
Mn 0.0000 0.0000 0.5000  2 H 1.60
H 0.0000 0.0000 0.0000  2 Mn 1.60
Fe 0.5000 0.5000 0.5000  8 Al 2.57, 4 Mn 2.85
Al 0.0000 0.5000 0.0000  2 H 2.02
Al 0.5000 0.0000 0.0000  2 H 2.02

Results
Energy relative to the lowest polymorph listed for this composition, eV/atom: 0.028
Space-group type: P4/mmm (123)

Entry 2:
Entry from Alexandria via LeMat-Bulk: a geometry-optimized MnAl2FeH structure (GGA-PBE).

Lattice parameters (Å, degrees): 4.0916 4.0916 3.1213 90.00 90.00 90.00
With the nearest neighbours (Å) after each atom.
Fractional positions:
Fe 0.0000 0.0000 0.5000  2 H 1.56
Al 0.0000 0.5000 0.0000  2 H 2.05
Mn 0.5000 0.5000 0.5000  8 Al 2.57
H 0.0000 0.0000 0.0000  2 Fe 1.56
Al 0.5000 0.0000 0.0000  2 H 2.05

Results
Energy relative to the lowest polymorph listed for this composition, eV/atom: 0.000
Space-group type: P4/mmm (123)

Entry 3:
Entry from Alexandria via LeMat-Bulk: a geometry-optimized MnAlFeH2 structure (GGA-PBE).

Lattice parameters (Å, degrees): 3.3553 5.0592 3.3553 90.00 90.00 90.00
With the nearest neighbours (Å) after each atom.
Fractional positions:
Fe 0.0000 0.5000 0.0000  4 Al 2.37, 2 Mn 2.53
Al 0.5000 0.5000 0.5000  4 Fe 2.37
H 0.5000 0.0000 0.0000  2 Mn 1.68
Mn 0.0000 0.0000 0.0000  4 H 1.68
H 0.0000 0.0000 0.5000  2 Mn 1.68

Results
Space-group type: P4/mmm (123)
DFT total energy, eV/atom: -5.16

Entry 4:
Entry from Alexandria via LeMat-Bulk: a geometry-optimized AlFe2MoH structure (GGA-PBE).

Lattice parameters (Å, degrees): 3.6520 4.1264 3.6520 90.00 90.00 90.00
With the nearest neighbours (Å) after each atom.
Fractional positions:
Al 0.0000 0.5000 0.0000  2 H 2.06
Mo 0.5000 0.5000 0.5000  4 Al 2.58, 8 Fe 2.76
Fe 0.0000 0.0000 0.5000  2 H 1.83
H 0.0000 0.0000 0.0000  4 Fe 1.83
Fe 0.5000 0.0000 0.0000  2 H 1.83

Results
Energy relative to the lowest polymorph listed for this composition, eV/atom: 0.102
Space-group type: P4/mmm (123)

Entry 5:
Entry from Alexandria via LeMat-Bulk: a geometry-optimized AlFe2MoH structure (GGA-PBE).

Lattice parameters (Å, degrees): 3.7314 3.7314 4.0225 90.00 90.00 90.00
With the nearest neighbours (Å) after each atom.
Fractional positions:
Fe 0.0000 0.5000 0.0000  2 H 1.87
Al 0.5000 0.5000 0.5000  4 Mo 2.64, 8 Fe 2.74
Fe 0.5000 0.0000 0.0000  2 H 1.87
Mo 0.0000 0.0000 0.5000  2 H 2.01
H 0.0000 0.0000 0.0000  4 Fe 1.87, 2 Mo 2.01

Results
Energy relative to the lowest polymorph listed for this composition, eV/atom: 0.000
Space-group type: P4/mmm (123)

Entry 6:
Entry from Alexandria via LeMat-Bulk: a geometry-optimized Na2AlFeH6 structure (GGA-PBE).

Lattice parameters (Å, degrees): 4.9475 4.9475 4.9465 59.96 59.96 89.99
With the nearest neighbours (Å) after each atom.
Fractional positions:
Al 0.5000 0.5000 0.0000  6 H 1.82-1.83
Na 0.7500 0.2500 0.5000  12 H 2.47-2.48
H 0.2390 0.7612 0.0000  1 Fe 1.67, 1 Al 1.83
H 0.7610 0.2388 0.0000  1 Fe 1.67, 1 Al 1.83
H 0.2399 0.2399 0.5214  1 Fe 1.67, 1 Al 1.82
H 0.2394 0.2396 0.9990  1 Fe 1.67, 1 Al 1.83
Na 0.2500 0.7500 0.5000  12 H 2.47-2.48
H 0.7606 0.7604 0.0010  1 Fe 1.67, 1 Al 1.83
H 0.7601 0.7601 0.4786  1 Fe 1.67, 1 Al 1.82
Fe 0.0000 0.0000 0.0000  6 H 1.67

Results
Space-group type: C2/m (12)
DFT total energy, eV/atom: -3.55

Entry 7:
Entry from Alexandria via LeMat-Bulk: a geometry-optimized NbAl2FeH structure (GGA-PBE).

Lattice parameters (Å, degrees): 4.0578 3.7379 4.0578 90.00 90.00 90.00
With the nearest neighbours (Å) after each atom.
Fractional positions:
Fe 0.0000 0.5000 0.0000  2 H 1.87
H 0.0000 0.0000 0.0000  2 Fe 1.87, 4 Al 2.03
Nb 0.5000 0.5000 0.5000  8 Al 2.76, 4 Fe 2.87
Al 0.5000 0.0000 0.0000  2 H 2.03
Al 0.0000 0.0000 0.5000  2 H 2.03

Results
Space-group type: P4/mmm (123)
DFT total energy, eV/atom: -5.98

Entry 8:
Entry from Alexandria via LeMat-Bulk: a geometry-optimized NdAlFe2H8 structure (GGA-PBE).

Lattice parameters (Å, degrees): 4.4203 4.4203 6.0762 68.67 68.67 60.00
With the nearest neighbours (Å) after each atom.
Fractional positions:
H 0.1040 0.3954 0.8596  2 Fe 1.61-1.78
Nd 0.5000 0.5000 0.5000  6 H 2.31
Al 0.0000 0.0000 0.0000  6 H 1.85
H 0.8960 0.6046 0.1404  2 Fe 1.61-1.78
H 0.6410 0.1040 0.8596  2 Fe 1.61-1.78
H 0.6046 0.3590 0.1404  2 Fe 1.61-1.78
H 0.2023 0.2023 0.3932  1 Fe 1.61
H 0.7977 0.7977 0.6068  1 Fe 1.61
H 0.3954 0.6410 0.8596  2 Fe 1.61-1.78
Fe 0.2998 0.2998 0.1004  7 H 1.61-1.78
Fe 0.7002 0.7002 0.8996  7 H 1.61-1.78
H 0.3590 0.8960 0.1404  2 Fe 1.61-1.78

Results
Space-group type: R-3 (148)
DFT total energy, eV/atom: -4.52